The following is a PBE+U calculation of a relaxed LiMnF3 crystal, from Alexandria.

Calculated values
energy = -5.762 eV/atom
calculated volume = 124 Å³ per cell
crystal system = trigonal

Unit cell a=5.8213 b=5.8213 c=5.8213 alpha=55.13 beta=55.13 gamma=55.13
With the nearest neighbours (Å) after each atom.
Fractional positions:
Li (0.2500, 0.2500, 0.2500)  3 F 1.86
Li (0.7500, 0.7500, 0.7500)  3 F 1.86
Mn (0.0000, 0.0000, 0.0000)  6 F 2.15
Mn (0.5000, 0.5000, 0.5000)  6 F 2.15
F (0.0959, 0.7500, 0.4041)  1 Li 1.86
F (0.2500, 0.5959, 0.9041)  1 Li 1.86
F (0.4041, 0.0959, 0.7500)  1 Li 1.86
F (0.5959, 0.9041, 0.2500)  1 Li 1.86
F (0.7500, 0.4041, 0.0959)  1 Li 1.86
F (0.9041, 0.2500, 0.5959)  1 Li 1.86